## Ce6SiP2Br3 (PBE-GGA)

Data for an optimized crystal structure of Ce6SiP2Br3.

Computed properties:
Final energy in eV per atom: -5.9948
D(E_F) in states/eV/f.u.: 34.4
Calculated volume in Å³/cell: 317

a = 4.166 Å, b = 8.510 Å, c = 9.480 Å
α = 104.72°, β = 102.69°, γ = 90.00°
Sites, in units of the cell vectors:
Ce (0.338, 0.895, 0.677)
Ce (0.674, 0.565, 0.348)
Ce (0.662, 0.105, 0.323)
Ce (0.009, 0.238, 0.018)
Ce (0.991, 0.762, 0.982)
Ce (0.326, 0.435, 0.652)
Si (0.500, 0.000, 0.000)
P (0.832, 0.665, 0.664)
P (0.168, 0.335, 0.336)
Br (0.500, 0.500, 0.000)
Br (0.835, 0.167, 0.670)
Br (0.165, 0.833, 0.330)